Compound: PuMgSb
Source: the Alexandria database
Functional: PBE
Structure: relaxed

Cell: 4.4029 4.4029 8.1093 Å, 90.00 90.00 90.00°
Space group P4/nmm (No. 129, origin choice 2)
Symmetry-distinct sites (fractional):
Pu: 0.2500 0.2500 0.1414
Mg: 0.2500 0.7500 0.5000
Sb: 0.2500 0.2500 0.7463

Results
- distance to the lowest polymorph of the same formula (kcal/mol of atoms) = 0.00
- formation energy from raw total energies (eV/atom) = -0.37
- total magnetization (μB per atom) = 2.30